No. 1
# Ho4Er2Sc5 (PBE, relaxed)
data_Ho4Er2Sc5
_cell_length_a 4.824
_cell_length_b 7.567
_cell_length_c 9.000
_cell_angle_alpha 75.87
_cell_angle_beta 105.54
_cell_angle_gamma 90.00
_space_group_name_H-M_alt 'P 1'
_space_group_IT_number 1
loop_
_space_group_symop_operation_xyz
'x,y,z'
loop_
_atom_site_label
_atom_site_type_symbol
_atom_site_fract_x
_atom_site_fract_y
_atom_site_fract_z
Ho1 Ho 0.318 0.914 0.636
Ho2 Ho 0.954 0.735 0.909
Ho3 Ho 0.682 0.086 0.364
Ho4 Ho 0.046 0.265 0.091
Er1 Er 0.407 0.449 0.814
Er2 Er 0.593 0.551 0.186
Sc1 Sc 0.773 0.630 0.546
Sc2 Sc 0.227 0.370 0.454
Sc3 Sc 0.861 0.188 0.722
Sc4 Sc 0.500 0.000 0.000
Sc5 Sc 0.139 0.812 0.278
# Distance to the lowest polymorph of the same formula, meV per atom: 0
# Size of the total moment, μB/f.u.: 0.000
# Calculated volume, Å³ per cell: 306.2
# Uncorrected energy, eV/atom: -5.32
# Energy relative to the elements, meV/atom: 51
# ρ, g/cm³: 6.61
# Space group: C2/m, No. 12

***

No. 2
# Li2IrRu (PBE, relaxed)
data_Li2IrRu
_cell_length_a 4.524
_cell_length_b 2.644
_cell_length_c 4.591
_cell_angle_alpha 87.80
_cell_angle_beta 90.00
_cell_angle_gamma 90.00
_space_group_name_H-M_alt 'P 1'
_space_group_IT_number 1
loop_
_space_group_symop_operation_xyz
'x,y,z'
loop_
_atom_site_label
_atom_site_type_symbol
_atom_site_fract_x
_atom_site_fract_y
_atom_site_fract_z
Ir1 Ir 0.500 0.750 0.750
Li1 Li 0.000 0.996 0.000
Li2 Li 0.000 0.504 0.500
Ru1 Ru 0.500 0.250 0.250
# Distance to the lowest polymorph of the same formula, meV per atom: 20
# Size of the total moment, μB/f.u.: 0.000
# Calculated volume, Å³ per cell: 54.9
# Uncorrected energy, eV/atom: -5.52
# Energy relative to the elements, meV/atom: -26
# ρ, g/cm³: 9.30
# Space group: P2/m, No. 10

***

No. 3
# Na4Zr3MnS8 (PBE, relaxed)
data_Na4Zr3MnS8
_cell_length_a 7.442
_cell_length_b 7.992
_cell_length_c 7.442
_cell_angle_alpha 117.76
_cell_angle_beta 120.00
_cell_angle_gamma 90.00
_space_group_name_H-M_alt 'P 1'
_space_group_IT_number 1
loop_
_space_group_symop_operation_xyz
'x,y,z'
loop_
_atom_site_label
_atom_site_type_symbol
_atom_site_fract_x
_atom_site_fract_y
_atom_site_fract_z
Na1 Na 0.500 0.000 0.000
Na2 Na 0.500 0.000 0.500
Na3 Na 0.000 0.000 0.000
Na4 Na 0.000 0.000 0.500
Zr1 Zr 0.500 0.500 0.000
Zr2 Zr 0.500 0.500 0.500
Zr3 Zr 0.000 0.500 0.500
Mn1 Mn 0.000 0.500 0.000
S1 S 0.240 0.720 0.980
S2 S 0.239 0.719 0.479
S3 S 0.258 0.275 0.517
S4 S 0.741 0.720 0.980
S5 S 0.259 0.280 0.020
S6 S 0.742 0.725 0.483
S7 S 0.761 0.281 0.521
S8 S 0.760 0.280 0.020
# Size of the total moment, μB/f.u.: 4.702
# Calculated volume, Å³ per cell: 323.1
# Uncorrected energy, eV/atom: -5.92
# ρ, g/cm³: 3.48
# Space group: R-3m, No. 166

***

No. 4
# AcAs2PtO8 (PBE, relaxed)
data_AcAs2PtO8
_cell_length_a 5.508
_cell_length_b 5.508
_cell_length_c 7.297
_cell_angle_alpha 90.00
_cell_angle_beta 90.00
_cell_angle_gamma 120.00
_space_group_name_H-M_alt 'P 1'
_space_group_IT_number 1
loop_
_space_group_symop_operation_xyz
'x,y,z'
loop_
_atom_site_label
_atom_site_type_symbol
_atom_site_fract_x
_atom_site_fract_y
_atom_site_fract_z
Ac1 Ac 0.000 0.000 0.500
As1 As 0.333 0.667 0.740
As2 As 0.667 0.333 0.260
Pt1 Pt 0.000 0.000 0.000
O1 O 0.158 0.315 0.799
O2 O 0.158 0.842 0.799
O3 O 0.685 0.842 0.799
O4 O 0.315 0.158 0.201
O5 O 0.667 0.333 0.494
O6 O 0.333 0.667 0.506
O7 O 0.842 0.685 0.201
O8 O 0.842 0.158 0.201
# Size of the total moment, μB/f.u.: 1.003
# Calculated volume, Å³ per cell: 191.8
# Uncorrected energy, eV/atom: -6.34
# ρ, g/cm³: 6.06
# Space group: P-3m1, No. 164

***

No. 5
# BeHCl (PBE, relaxed)
data_BeHCl
_cell_length_a 3.265
_cell_length_b 13.926
_cell_length_c 4.179
_cell_angle_alpha 90.00
_cell_angle_beta 90.00
_cell_angle_gamma 90.00
_space_group_name_H-M_alt 'P 1'
_space_group_IT_number 1
loop_
_space_group_symop_operation_xyz
'x,y,z'
loop_
_atom_site_label
_atom_site_type_symbol
_atom_site_fract_x
_atom_site_fract_y
_atom_site_fract_z
Be1 Be 0.000 0.445 0.495
Be2 Be 0.000 0.555 0.995
Be3 Be 0.500 0.945 0.495
Be4 Be 0.500 0.055 0.995
H1 H 0.000 0.464 0.834
H2 H 0.000 0.536 0.334
H3 H 0.500 0.964 0.834
H4 H 0.500 0.036 0.334
Cl1 Cl 0.000 0.136 0.901
Cl2 Cl 0.000 0.864 0.401
Cl3 Cl 0.500 0.636 0.901
Cl4 Cl 0.500 0.364 0.401
# Distance to the lowest polymorph of the same formula, meV per atom: 0
# Size of the total moment, μB/f.u.: 0.000
# Calculated volume, Å³ per cell: 190.0
# Uncorrected energy, eV/atom: -3.72
# ρ, g/cm³: 1.59
# Space group: Cmc2_1, No. 36

***

No. 6
# Ce2Ni3P4Ru (PBE, relaxed)
data_Ce2Ni3P4Ru
_cell_length_a 4.063
_cell_length_b 4.063
_cell_length_c 9.201
_cell_angle_alpha 90.00
_cell_angle_beta 90.00
_cell_angle_gamma 90.00
_space_group_name_H-M_alt 'P 1'
_space_group_IT_number 1
loop_
_space_group_symop_operation_xyz
'x,y,z'
loop_
_atom_site_label
_atom_site_type_symbol
_atom_site_fract_x
_atom_site_fract_y
_atom_site_fract_z
Ce1 Ce 0.500 0.000 0.241
Ce2 Ce 0.000 0.500 0.759
Ni1 Ni 0.000 0.000 0.500
Ni2 Ni 0.500 0.000 0.888
Ni3 Ni 0.000 0.500 0.112
P1 P 0.500 0.500 0.000
P2 P 0.000 0.000 0.000
P3 P 0.500 0.000 0.637
P4 P 0.000 0.500 0.363
Ru1 Ru 0.500 0.500 0.500
# Size of the total moment, μB/f.u.: 1.212
# Calculated volume, Å³ per cell: 151.9
# Uncorrected energy, eV/atom: -7.00
# Energy relative to the elements, meV/atom: -985
# ρ, g/cm³: 7.45
# Space group: P-4m2, No. 115